Density functional theory data (GGA+U) for a relaxed structure of YMo2PtF.

Cell lengths 4.3439, 4.3439, 5.5368 Å; angles 90.00, 90.00, 90.00 degrees
Space group P4/mmm (No. 123)
Inequivalent atoms, fractional coordinates:
Y  0.0000  0.0000  0.0000
Mo  0.0000  0.5000  0.5000
Pt  0.5000  0.5000  0.0000
F  0.5000  0.5000  0.5000

Properties
D(E_F): 2.75 states/eV/cell
Size of the total moment: 6.49 μB per cell
Mass density: 7.866 g/cm³
E: -5.501 eV per atom